Compound: BaSb2TeH
Source: Alexandria
Functional: PBE-GGA
Structure: optimized geometry

The value obtained for the energy above the most stable polymorph in this dataset is 1260 meV/atom. The value obtained for the density of states at the Fermi level is 6.345 states/eV/cell. The magnetic moment comes out at 0.448 μB/atom.

The space group is P4/mmm (No. 123) and the conventional cell measures 6.613, 6.613 and 6.552 Å, with angles of 90.00, 90.00 and 90.00 degrees. The asymmetric unit holds Ba at (0.000, 0.000, 0.000), Sb at (0.000, 0.500, 0.000), Te at (0.000, 0.000, 0.500) and H at (0.500, 0.500, 0.500).